Nb3TlRh | GGA-PBE | relaxed

extended XYZ file:
```
5
Lattice="4.854 0.000 0.000 0.000 4.854 0.000 0.000 0.000 4.854" Properties=species:S:1:pos:R:3 pbc="T T T"
Nb 0.000 2.427 0.000
Tl 2.427 2.427 2.427
Nb 2.427 0.000 0.000
Nb 0.000 0.000 2.427
Rh 0.000 0.000 0.000
```

D(E_F): 8.62 states/eV per cell
ΔH_f (0 K): 0.89 eV/atom
Total magnetization: 0.00 μB per cell